[1]
{"formula": "SmNpPtRh", "functional": "PBE", "state": "relaxed", "space_group": "No. 216", "volume_a3_per_atom": 21.33, "e_form_ev_per_atom": -0.556, "energy_ev_per_atom": -8.319, "lattice": [[4.942, 0.000, 0.000], [2.471, 4.280, 0.000], [2.471, 1.427, 4.035]], "species": ["Pt", "Sm", "Rh", "Np"], "fractional_positions": [[0.750, 0.750, 0.750], [0.500, 0.500, 0.500], [0.250, 0.250, 0.250], [0.000, 0.000, 0.000]]}

***

[2]
{"formula": "NpSnPtRh", "functional": "PBE", "state": "relaxed", "space_group": "No. 216", "volume_a3_per_atom": 19.41, "e_form_ev_per_atom": -0.419, "energy_ev_per_atom": -8.003, "lattice": [[4.789, 0.000, 0.000], [2.394, 4.147, 0.000], [2.394, 1.382, 3.910]], "species": ["Pt", "Sn", "Np", "Rh"], "fractional_positions": [[0.250, 0.250, 0.250], [0.500, 0.500, 0.500], [0.000, 0.000, 0.000], [0.750, 0.750, 0.750]]}

***

[3]
{"formula": "Np2SnPtRh5", "functional": "PBE", "state": "relaxed", "space_group": "No. 140", "volume_a3_per_atom": 17.98, "e_form_ev_per_atom": -0.110, "energy_ev_per_atom": -8.186, "lattice": [[-1.040, -7.252, 2.192], [7.132, -0.191, 2.752], [-4.895, 5.472, 2.442]], "species": ["Pt", "Sn", "Rh", "Rh", "Rh", "Rh", "Np", "Rh", "Rh", "Sn", "Pt", "Rh", "Rh", "Rh", "Np", "Np", "Np", "Rh"], "fractional_positions": [[0.750, 0.250, 0.500], [0.250, 0.250, 0.500], [0.500, 0.500, 0.000], [0.914, 0.414, 0.267], [0.414, 0.353, 0.267], [0.086, 0.586, 0.733], [0.608, 0.108, 0.000], [0.353, 0.853, 0.267], [0.147, 0.086, 0.733], [0.750, 0.750, 0.500], [0.250, 0.750, 0.500], [0.586, 0.647, 0.733], [0.000, 0.000, 0.000], [0.853, 0.914, 0.267], [0.108, 0.392, 0.000], [0.892, 0.608, 0.000], [0.392, 0.892, 0.000], [0.647, 0.147, 0.733]]}